Material: TbTh3
Method: DFT, PBE
State: relaxed

Lattice parameters (Å, degrees): 5.6811 5.6811 5.6811 60.00 60.00 60.00
Fractional positions:
Tb1 0.0000 0.0000 0.0000
Th1 0.2500 0.2500 0.2500
Th2 0.5000 0.5000 0.5000
Th3 0.7500 0.7500 0.7500

Summary:
SG   No. 225
Excess energy over the best structure of this formula in the dataset   130 meV per atom
Energy of formation from the pure elements   0.1782 eV/atom